Arrangement w

Computed, not measured: an optimized crystal structure of PaAlGaTc at the PBE level of DFT.

Calculated values
The value obtained for the density of states at the Fermi level is 0.862 states/eV per atom. For the magnetic moment, the calculation gives 0.00 Bohr magnetons per cell.

Cell lengths 4.704, 4.704, 4.704 Å; angles 60.00, 60.00, 60.00 degrees
Atoms (fractional coordinates):
Pa: 0.250 0.250 0.250
Tc: 0.000 0.000 0.000
Ga: 0.500 0.500 0.500
Al: 0.750 0.750 0.750

***

Arrangement x

Computed, not measured: an optimized crystal structure of PaAlGaTc at the PBE level of DFT.

Calculated values
The value obtained for the density of states at the Fermi level is 0.285 states/eV per atom. For the magnetic moment, the calculation gives 0.00 Bohr magnetons per cell.

Cell lengths 4.582, 4.582, 5.102 Å; angles 63.32, 63.32, 60.00 degrees
Atoms (fractional coordinates):
Pa: 0.806 0.806 0.583
Al: 0.347 0.347 0.960
Ga: 0.585 0.585 0.246
Tc: 0.989 0.989 0.033

***

Short version: arrangement x is the most stable of them.

***

Arrangement w

Computed, not measured: an optimized crystal structure of AlGaPb at the PBE level of DFT.

Calculated values
The value obtained for the density of states at the Fermi level is 0.452 states/eV per atom. For the magnetic moment, the calculation gives 0.00 Bohr magnetons per cell.

Cell lengths 4.124, 4.124, 8.043 Å; angles 90.00, 90.00, 90.00 degrees
Atoms (fractional coordinates):
Pb: 0.000 0.500 0.868
Pb: 0.500 0.000 0.132
Ga: 0.000 0.500 0.277
Ga: 0.500 0.000 0.723
Al: 0.500 0.500 0.500
Al: 0.000 0.000 0.500

***

Arrangement x

Computed, not measured: an optimized crystal structure of AlGaPb at the PBE level of DFT.

Calculated values
The value obtained for the density of states at the Fermi level is 0.338 states/eV per atom. For the magnetic moment, the calculation gives 0.00 Bohr magnetons per cell.

Cell lengths 4.849, 4.978, 6.115 Å; angles 70.40, 89.99, 89.99 degrees
Atoms (fractional coordinates):
Pb: 0.118 0.966 0.536
Pb: 0.618 0.486 0.580
Al: 0.121 0.579 0.165
Al: 0.621 0.261 0.168
Ga: 0.121 0.169 0.959
Ga: 0.621 0.840 0.972

***

Arrangement y

Computed, not measured: an optimized crystal structure of AlGaPb at the PBE level of DFT.

Calculated values
The value obtained for the density of states at the Fermi level is 0.480 states/eV per atom. For the magnetic moment, the calculation gives 0.00 Bohr magnetons per cell.

Cell lengths 4.518, 7.499, 9.354 Å; angles 90.00, 119.01, 90.00 degrees
Atoms (fractional coordinates):
Pb: 0.582 0.178 0.331
Pb: 0.418 0.178 0.669
Pb: 0.582 0.678 0.831
Pb: 0.418 0.678 0.169
Al: 0.846 0.363 0.096
Al: 0.154 0.363 0.904
Al: 0.846 0.863 0.596
Al: 0.154 0.863 0.404
Ga: 0.154 0.498 0.403
Ga: 0.846 0.498 0.597
Ga: 0.154 0.998 0.903
Ga: 0.846 0.998 0.097

***

Short version: arrangement w is the most stable of them.

***

Arrangement w

Computed, not measured: an optimized crystal structure of AlGaPb at the PBE level of DFT.

Calculated values
The value obtained for the density of states at the Fermi level is 0.475 states/eV per atom. For the magnetic moment, the calculation gives 0.00 Bohr magnetons per cell.

Cell lengths 5.676, 4.073, 6.368 Å; angles 90.00, 104.26, 90.00 degrees
Atoms (fractional coordinates):
Pb: 0.210 0.000 0.492
Pb: 0.688 0.500 0.378
Al: 0.829 0.000 0.041
Al: 0.524 0.500 0.831
Ga: 0.019 0.500 0.843
Ga: 0.328 0.000 0.036

***

Arrangement x

Computed, not measured: an optimized crystal structure of AlGaPb at the PBE level of DFT.

Calculated values
The value obtained for the density of states at the Fermi level is 0.352 states/eV per atom. For the magnetic moment, the calculation gives 0.00 Bohr magnetons per cell.

Cell lengths 4.755, 4.755, 4.755 Å; angles 60.00, 60.00, 60.00 degrees
Atoms (fractional coordinates):
Pb: 0.500 0.500 0.500
Al: 0.250 0.250 0.250
Ga: 0.000 0.000 0.000

***

Arrangement y

Computed, not measured: an optimized crystal structure of AlGaPb at the PBE level of DFT.

Calculated values
The value obtained for the density of states at the Fermi level is 0.388 states/eV per atom. For the magnetic moment, the calculation gives 0.00 Bohr magnetons per cell.

Cell lengths 3.507, 3.507, 11.122 Å; angles 90.00, 90.00, 90.00 degrees
Atoms (fractional coordinates):
Pb: 0.000 0.500 0.375
Pb: 0.500 0.000 0.625
Al: 0.000 0.500 0.065
Al: 0.500 0.000 0.935
Ga: 0.000 0.500 0.813
Ga: 0.500 0.000 0.187

***

Short version: arrangement y is the most stable of them.

***

Arrangement w

Computed, not measured: an optimized crystal structure of Al2GaPb2 at the PBE level of DFT.

Calculated values
The value obtained for the density of states at the Fermi level is 0.503 states/eV per atom. For the magnetic moment, the calculation gives 0.00 Bohr magnetons per cell.

Cell lengths 3.927, 3.927, 8.757 Å; angles 77.04, 77.04, 90.00 degrees
Atoms (fractional coordinates):
Pb: 0.391 0.391 0.219
Pb: 0.609 0.609 0.781
Al: 0.750 0.250 0.500
Al: 0.250 0.750 0.500
Ga: 0.000 0.000 0.000

***

Arrangement x

Computed, not measured: an optimized crystal structure of Al2GaPb2 at the PBE level of DFT.

Calculated values
The value obtained for the density of states at the Fermi level is 0.591 states/eV per atom. For the magnetic moment, the calculation gives 0.00 Bohr magnetons per cell.

Cell lengths 6.811, 6.811, 5.256 Å; angles 90.00, 90.00, 90.00 degrees
Atoms (fractional coordinates):
Pb: 0.186 0.686 0.500
Pb: 0.686 0.814 0.500
Pb: 0.814 0.314 0.500
Pb: 0.314 0.186 0.500
Al: 0.363 0.863 0.000
Al: 0.863 0.637 0.000
Al: 0.637 0.137 0.000
Al: 0.137 0.363 0.000
Ga: 0.000 0.000 0.000
Ga: 0.500 0.500 0.000

***

Short version: arrangement x is the most stable of them.

***

Arrangement w

Computed, not measured: an optimized crystal structure of AlGa3Pd at the PBE level of DFT.

Calculated values
The value obtained for the density of states at the Fermi level is 0.736 states/eV per atom. For the magnetic moment, the calculation gives 0.00 Bohr magnetons per cell.

Cell lengths 4.827, 4.827, 4.827 Å; angles 90.00, 90.00, 90.00 degrees
Atoms (fractional coordinates):
Ga: 0.000 0.500 0.000
Ga: 0.000 0.000 0.500
Ga: 0.500 0.000 0.000
Pd: 0.000 0.000 0.000
Al: 0.500 0.500 0.500

***

Arrangement x

Computed, not measured: an optimized crystal structure of AlGa3Pd at the PBE level of DFT.

Calculated values
The value obtained for the density of states at the Fermi level is 0.453 states/eV per atom. For the magnetic moment, the calculation gives 0.00 Bohr magnetons per cell.

Cell lengths 5.872, 5.872, 6.746 Å; angles 105.80, 122.41, 94.09 degrees
Atoms (fractional coordinates):
Al: 0.685 0.090 0.775
Al: 0.315 0.910 0.225
Ga: 0.780 0.924 0.187
Ga: 0.264 0.407 0.187
Ga: 0.736 0.593 0.813
Ga: 0.822 0.407 0.229
Ga: 0.220 0.076 0.813
Ga: 0.178 0.593 0.771
Pd: 0.728 0.753 0.481
Pd: 0.272 0.247 0.519

***

Short version: arrangement x is the most stable of them.

***

Arrangement w

Computed, not measured: an optimized crystal structure of AlGaPd3 at the PBE level of DFT.

Calculated values
The value obtained for the density of states at the Fermi level is 0.369 states/eV per atom. For the magnetic moment, the calculation gives 0.00 Bohr magnetons per cell.

Cell lengths 5.944, 7.319, 7.319 Å; angles 95.25, 81.20, 81.20 degrees
Atoms (fractional coordinates):
Al: 0.250 0.004 0.996
Al: 0.750 0.996 0.004
Al: 0.250 0.276 0.724
Al: 0.750 0.724 0.276
Ga: 0.804 0.471 0.793
Ga: 0.696 0.207 0.529
Ga: 0.196 0.529 0.207
Ga: 0.304 0.793 0.471
Pd: 0.507 0.709 0.031
Pd: 0.993 0.969 0.291
Pd: 0.493 0.291 0.969
Pd: 0.007 0.031 0.709
Pd: 0.969 0.301 0.047
Pd: 0.531 0.953 0.699
Pd: 0.031 0.699 0.953
Pd: 0.469 0.047 0.301
Pd: 0.424 0.557 0.684
Pd: 0.076 0.316 0.443
Pd: 0.576 0.443 0.316
Pd: 0.924 0.684 0.557

***

Arrangement x

Computed, not measured: an optimized crystal structure of AlGaPd3 at the PBE level of DFT.

Calculated values
The value obtained for the density of states at the Fermi level is 0.585 states/eV per atom. For the magnetic moment, the calculation gives 0.00 Bohr magnetons per cell.

Cell lengths 4.556, 4.556, 4.556 Å; angles 90.00, 90.00, 90.00 degrees
Atoms (fractional coordinates):
Ga: 0.500 0.500 0.500
Pd: 0.000 0.500 0.000
Pd: 0.000 0.000 0.500
Pd: 0.500 0.000 0.000
Al: 0.000 0.000 0.000

***

Short version: arrangement w is the most stable of them.

***

Arrangement w

Computed, not measured: an optimized crystal structure of AlGa2Pd8 at the PBE level of DFT.

Calculated values
The value obtained for the density of states at the Fermi level is 0.410 states/eV per atom. For the magnetic moment, the calculation gives 0.00 Bohr magnetons per cell.

Cell lengths 4.101, 7.014, 7.139 Å; angles 119.42, 106.69, 90.00 degrees
Atoms (fractional coordinates):
Al: 0.500 0.000 0.000
Ga: 0.191 0.691 0.381
Ga: 0.809 0.309 0.619
Pd: 0.660 0.884 0.321
Pd: 0.340 0.563 0.679
Pd: 0.140 0.140 0.281
Pd: 0.000 0.307 0.000
Pd: 0.860 0.860 0.719
Pd: 0.660 0.437 0.321
Pd: 0.340 0.116 0.679
Pd: 0.000 0.693 0.000

***

Arrangement x

Computed, not measured: an optimized crystal structure of AlGa2Pd8 at the PBE level of DFT.

Calculated values
The value obtained for the density of states at the Fermi level is 0.349 states/eV per atom. For the magnetic moment, the calculation gives 0.00 Bohr magnetons per cell.

Cell lengths 4.137, 6.133, 7.227 Å; angles 107.63, 106.63, 90.00 degrees
Atoms (fractional coordinates):
Al: 0.500 0.000 0.000
Ga: 0.796 0.331 0.591
Ga: 0.204 0.669 0.409
Pd: 0.401 0.538 0.802
Pd: 0.671 0.937 0.343
Pd: 0.834 0.762 0.667
Pd: 0.967 0.245 0.934
Pd: 0.166 0.238 0.333
Pd: 0.329 0.063 0.657
Pd: 0.599 0.462 0.198
Pd: 0.033 0.755 0.066

***

Short version: arrangement w is the most stable of them.

***

Arrangement w

Computed, not measured: an optimized crystal structure of Al2Ga2Pd at the PBE level of DFT.

Calculated values
The value obtained for the density of states at the Fermi level is 0.398 states/eV per atom. For the magnetic moment, the calculation gives 0.00 Bohr magnetons per cell.

Cell lengths 3.581, 3.581, 7.266 Å; angles 75.73, 75.73, 90.00 degrees
Atoms (fractional coordinates):
Ga: 0.750 0.250 0.500
Ga: 0.250 0.750 0.500
Pd: 0.000 0.000 0.000
Al: 0.404 0.404 0.191
Al: 0.596 0.596 0.809

***

Arrangement x

Computed, not measured: an optimized crystal structure of Al2Ga2Pd at the PBE level of DFT.

Calculated values
The value obtained for the density of states at the Fermi level is 0.313 states/eV per atom. For the magnetic moment, the calculation gives 0.00 Bohr magnetons per cell.

Cell lengths 6.613, 6.613, 3.997 Å; angles 90.00, 90.00, 90.00 degrees
Atoms (fractional coordinates):
Ga: 0.162 0.662 0.500
Ga: 0.662 0.838 0.500
Ga: 0.838 0.338 0.500
Ga: 0.338 0.162 0.500
Pd: 0.000 0.000 0.000
Pd: 0.500 0.500 0.000
Al: 0.355 0.855 0.000
Al: 0.855 0.645 0.000
Al: 0.645 0.145 0.000
Al: 0.145 0.355 0.000

***

Short version: arrangement x is the most stable of them.